Record 1
Pm6Ge3N: relaxed, GGA-PBE.

## Properties
Energy, eV/cell: -117.0
DOS(E_F), states/eV/f.u.: 8.1
Space group: P2_1/c

Geometry as POSCAR:
```
Pm6Ge3N
1.0
6.488 0.000 0.027
0.000 7.882 0.000
0.100 0.000 10.205
Ge N Pm
6 2 12
direct
0.934 0.392 0.753
0.500 0.500 0.000
0.066 0.608 0.247
0.434 0.108 0.253
0.566 0.892 0.747
0.000 0.000 0.500
0.500 0.500 0.500
0.000 0.000 0.000
0.638 0.209 0.561
0.678 0.162 0.940
0.862 0.709 0.939
0.822 0.662 0.560
0.178 0.338 0.440
0.362 0.791 0.439
0.635 0.452 0.267
0.135 0.048 0.767
0.365 0.548 0.733
0.138 0.291 0.061
0.865 0.952 0.233
0.322 0.838 0.060
```



Record 2
PmGeN2: relaxed, GGA-PBE.

## Properties
Energy, eV/cell: -229.4
Space group: C2/c

Geometry as POSCAR:
```
PmGeN2
1.0
7.004 1.703 1.479
1.543 7.041 1.479
1.512 1.547 11.607
N Pm Ge
16 8 8
direct
0.886 0.486 0.208
0.486 0.886 0.708
0.013 0.987 0.750
0.114 0.514 0.792
0.359 0.223 0.000
0.777 0.641 0.500
0.514 0.114 0.292
0.672 0.277 0.453
0.723 0.328 0.047
0.581 0.419 0.750
0.223 0.359 0.500
0.328 0.723 0.547
0.277 0.672 0.953
0.987 0.013 0.250
0.641 0.777 0.000
0.419 0.581 0.250
0.731 0.591 0.851
0.936 0.266 0.565
0.734 0.064 0.935
0.266 0.936 0.065
0.269 0.409 0.149
0.064 0.734 0.435
0.409 0.269 0.649
0.591 0.731 0.351
0.778 0.060 0.171
0.060 0.778 0.671
0.532 0.690 0.624
0.310 0.468 0.876
0.690 0.532 0.124
0.468 0.310 0.376
0.940 0.222 0.329
0.222 0.940 0.829
```



Record 3
Pm3GeN: relaxed, GGA-PBE.

## Properties
Energy, eV/cell: -31.7
DOS(E_F), states/eV/f.u.: 1.9
Space group: Pm-3m

Geometry as POSCAR:
```
Pm3GeN
1.0
4.892 0.000 0.000
0.000 4.892 0.000
0.000 0.000 4.892
Pm N Ge
3 1 1
direct
0.500 0.000 0.000
0.000 0.500 0.000
0.000 0.000 0.500
0.000 0.000 0.000
0.500 0.500 0.500
```



Record 4
Pm3Ge2N: relaxed, GGA-PBE.

## Properties
Energy, eV/cell: -35.6
DOS(E_F), states/eV/f.u.: 5.1
Space group: Immm

Geometry as POSCAR:
```
Pm3Ge2N
1.0
3.923 0.000 0.000
0.000 4.880 0.000
-1.961 -2.440 7.943
Ge N Pm
2 1 3
direct
0.654 0.654 0.308
0.346 0.346 0.692
0.000 0.000 0.000
0.000 0.500 0.000
0.851 0.851 0.702
0.149 0.149 0.298
```



Record 5
Pm6Ge2N: relaxed, GGA-PBE.

## Properties
Energy, eV/cell: -49.6
DOS(E_F), states/eV/f.u.: 8.7
Space group: Immm

Geometry as POSCAR:
```
Pm6Ge2N
1.0
4.899 0.000 -0.190
0.000 6.807 0.000
-2.174 -3.403 7.186
Pm N Ge
6 1 2
direct
0.155 0.396 0.310
0.500 0.232 0.000
0.845 0.604 0.690
0.845 0.087 0.690
0.500 0.768 0.000
0.155 0.913 0.310
0.000 0.000 0.000
0.667 0.667 0.334
0.333 0.333 0.666
```



Record 6
Pm5Ge2N: relaxed, GGA-PBE.

## Properties
Energy, eV/cell: -92.4
DOS(E_F), states/eV/f.u.: 7.4
Space group: Cmcm

Geometry as POSCAR:
```
Pm5Ge2N
1.0
-1.268 5.093 0.968
-2.004 -4.024 3.836
12.247 1.529 8.001
Pm Ge N
10 4 2
direct
0.749 0.499 0.250
0.600 0.200 0.626
0.600 0.200 0.874
0.099 0.198 0.374
0.099 0.198 0.126
0.400 0.800 0.126
0.901 0.802 0.874
0.901 0.802 0.626
0.400 0.800 0.374
0.251 0.501 0.750
0.751 0.502 0.054
0.249 0.498 0.554
0.751 0.502 0.446
0.249 0.498 0.946
0.750 0.500 0.750
0.250 0.500 0.250
```



Record 7
Pm3GeN: relaxed, GGA-PBE.

## Properties
Energy, eV/cell: -63.0
DOS(E_F), states/eV/f.u.: 3.0
Space group: P2_1/m

Geometry as POSCAR:
```
Pm3GeN
1.0
4.826 0.000 -0.491
0.000 4.891 0.000
-1.350 0.000 10.651
Pm Ge N
6 2 2
direct
0.074 0.250 0.649
0.691 0.250 0.883
0.309 0.750 0.117
0.558 0.750 0.617
0.442 0.250 0.383
0.926 0.750 0.351
0.836 0.250 0.172
0.164 0.750 0.828
0.430 0.750 0.360
0.570 0.250 0.640
```



Record 8
Pm6GeN: relaxed, GGA-PBE.

## Properties
Energy, eV/cell: -45.2
DOS(E_F), states/eV/f.u.: 5.7
Space group: R-3m

Geometry as POSCAR:
```
Pm6GeN
1.0
6.091 -0.205 -0.232
-0.869 6.032 -0.232
-0.869 -0.970 5.958
Pm Ge N
6 1 1
direct
0.785 0.405 0.785
0.215 0.595 0.215
0.595 0.215 0.215
0.215 0.215 0.595
0.785 0.785 0.405
0.405 0.785 0.785
0.000 0.000 0.000
0.500 0.500 0.500
```



Record 9
Pm5GeN: relaxed, GGA-PBE.

## Properties
Energy, eV/cell: -80.5
DOS(E_F), states/eV/f.u.: 7.9
Space group: C2/c

Geometry as POSCAR:
```
Pm5GeN
1.0
7.070 0.196 -0.112
2.428 6.642 -0.112
3.267 2.352 8.668
Ge Pm N
2 10 2
direct
0.584 0.416 0.250
0.416 0.584 0.750
0.317 0.129 0.361
0.633 0.225 0.975
0.871 0.683 0.139
0.225 0.633 0.475
0.129 0.317 0.861
0.942 0.058 0.250
0.775 0.367 0.525
0.058 0.942 0.750
0.683 0.871 0.639
0.367 0.775 0.025
0.000 0.000 0.500
0.000 0.000 0.000
```



Record 10
Pm4Ge2N: relaxed, GGA-PBE.

## Properties
Energy, eV/cell: -42.7
DOS(E_F), states/eV/f.u.: 4.6
Space group: I4/mmm

Geometry as POSCAR:
```
Pm4Ge2N
1.0
4.772 0.000 0.000
0.000 4.772 0.000
2.386 2.386 7.834
Ge N Pm
2 1 4
direct
0.363 0.363 0.275
0.637 0.637 0.725
0.000 0.000 0.000
0.500 0.000 0.000
0.830 0.830 0.339
0.000 0.500 0.000
0.170 0.170 0.661
```



Record 11
Pm4GeN: relaxed, GGA-PBE.

## Properties
Energy, eV/cell: -71.4
DOS(E_F), states/eV/f.u.: 6.4
Space group: P2/m

Geometry as POSCAR:
```
Pm4GeN
1.0
3.679 0.000 0.000
0.000 10.111 1.479
0.000 -2.508 8.596
Pm N Ge
8 2 2
direct
0.500 0.332 0.449
0.500 0.168 0.051
0.500 0.668 0.551
0.000 0.978 0.277
0.000 0.022 0.723
0.000 0.522 0.223
0.000 0.478 0.777
0.500 0.832 0.949
0.000 0.500 0.500
0.000 0.000 0.000
0.500 0.250 0.750
0.500 0.750 0.250
```



Record 12
PmGeN2: relaxed, GGA-PBE.

## Properties
Energy, eV/cell: -56.3
DOS(E_F), states/eV/f.u.: 0.4
Space group: P2/m

Geometry as POSCAR:
```
PmGeN2
1.0
3.363 0.000 0.000
0.000 5.502 -0.140
0.000 -0.259 6.818
Ge Pm N
2 2 4
direct
0.500 0.485 0.689
0.500 0.515 0.311
0.000 0.000 0.000
0.500 0.000 0.500
0.000 0.276 0.704
0.500 0.215 0.193
0.000 0.724 0.296
0.500 0.785 0.807
```



Record 13
Pm6Ge2N: relaxed, GGA-PBE.

## Properties
Energy, eV/cell: -105.0
DOS(E_F), states/eV/f.u.: 9.4
Space group: P2_1/c

Geometry as POSCAR:
```
Pm6Ge2N
1.0
-5.634 2.822 -1.252
-1.853 -5.893 -4.944
-4.279 -4.636 7.128
Pm Ge N
12 4 2
direct
0.380 0.534 0.251
0.138 0.290 0.555
0.862 0.710 0.445
0.328 0.840 0.553
0.828 0.660 0.053
0.362 0.790 0.945
0.172 0.340 0.947
0.120 0.034 0.249
0.620 0.466 0.749
0.880 0.966 0.751
0.638 0.210 0.055
0.672 0.160 0.447
0.935 0.387 0.257
0.565 0.887 0.243
0.065 0.613 0.743
0.435 0.113 0.757
0.000 0.000 0.500
0.500 0.500 0.000
```



Record 14
PmPr2GeN4: relaxed, GGA-PBE.

## Properties
Energy, eV/cell: -118.0
DOS(E_F), states/eV/f.u.: 1.1
Space group: Cmcm

Geometry as POSCAR:
```
PmPr2GeN4
1.0
3.637 0.000 0.000
-1.818 5.885 0.000
0.000 0.000 12.222
N Ge Pr Pm
8 2 4 2
direct
0.724 0.448 0.635
0.276 0.552 0.135
0.421 0.841 0.750
0.000 0.000 0.500
0.000 0.000 0.000
0.724 0.448 0.865
0.579 0.159 0.250
0.276 0.552 0.365
0.834 0.667 0.750
0.166 0.333 0.250
0.369 0.738 0.955
0.631 0.262 0.455
0.369 0.738 0.545
0.631 0.262 0.045
0.103 0.207 0.750
0.897 0.793 0.250
```



Record 15
Pm2PuGeN5: relaxed, GGA-PBE.

## Properties
Energy, eV/cell: -156.3
DOS(E_F), states/eV/f.u.: 4.9
Space group: Cmc2_1

Geometry as POSCAR:
```
Pm2PuGeN5
1.0
-1.096 1.044 -3.047
4.146 -5.841 -1.594
-8.320 -6.147 0.887
N Pm Pu Ge
10 4 2 2
direct
0.713 0.427 0.159
0.043 0.085 0.036
0.509 0.017 0.281
0.287 0.573 0.659
0.957 0.915 0.536
0.491 0.983 0.781
0.678 0.356 0.880
0.353 0.706 0.006
0.647 0.294 0.506
0.322 0.644 0.380
0.108 0.216 0.682
0.892 0.784 0.182
0.131 0.262 0.316
0.869 0.738 0.816
0.206 0.413 0.022
0.794 0.587 0.522
0.544 0.088 0.942
0.456 0.912 0.442
```



Record 16
Pm2Ge2Ru2N: relaxed, GGA-PBE.

## Properties
Energy, eV/cell: -50.9
DOS(E_F), states/eV/f.u.: 3.1
Space group: C2/m

Geometry as POSCAR:
```
Pm2Ge2Ru2N
1.0
4.065 0.000 0.000
2.033 5.604 -0.396
2.033 1.710 5.517
Pm Ge N Ru
2 2 1 2
direct
0.440 0.829 0.290
0.560 0.171 0.710
0.840 0.625 0.695
0.160 0.375 0.305
0.000 0.000 0.000
0.197 0.692 0.915
0.803 0.308 0.085
```



Record 17
Pm8Ge3S3N: relaxed, GGA-PBE.

## Properties
Energy, eV/cell: -92.0
DOS(E_F), states/eV/f.u.: 7.8
Space group: R-3m

Geometry as POSCAR:
```
Pm8Ge3S3N
1.0
8.195 0.000 0.000
-4.097 7.098 -0.024
0.000 -4.708 6.747
S Pm Ge N
3 8 3 1
direct
0.500 0.000 0.500
0.500 0.500 0.500
0.000 0.500 0.500
0.228 0.002 0.276
0.772 0.998 0.724
0.774 0.002 0.276
0.251 0.503 0.254
0.226 0.998 0.724
0.226 0.452 0.724
0.774 0.548 0.276
0.749 0.497 0.746
0.000 0.500 0.000
0.500 0.500 0.000
0.000 0.000 0.000
0.000 0.000 0.500
```



Record 18
PmSc2GeN4: relaxed, GGA-PBE.

## Properties
Energy, eV/cell: -128.8
DOS(E_F), states/eV/f.u.: 1.3
Space group: Cmcm

Geometry as POSCAR:
```
PmSc2GeN4
1.0
-0.325 3.019 1.397
-3.232 -3.646 3.131
8.708 -2.094 6.550
Ge Sc N Pm
2 4 8 2
direct
0.837 0.674 0.750
0.163 0.326 0.250
0.371 0.741 0.538
0.629 0.259 0.462
0.629 0.259 0.038
0.371 0.741 0.962
0.266 0.533 0.120
0.266 0.533 0.380
0.000 0.000 0.500
0.734 0.467 0.880
0.734 0.467 0.620
0.425 0.849 0.750
0.575 0.151 0.250
0.000 0.000 0.000
0.099 0.198 0.750
0.901 0.802 0.250
```



Record 19
Pm4SiGeN: relaxed, GGA-PBE.

## Properties
Energy, eV/cell: -86.2
DOS(E_F), states/eV/f.u.: 4.1
Space group: Cmcm

Geometry as POSCAR:
```
Pm4SiGeN
1.0
6.728 0.000 0.000
0.000 6.728 0.000
-3.364 0.000 7.823
N Pm Si Ge
2 8 2 2
direct
0.247 0.750 0.494
0.753 0.250 0.506
0.500 0.000 0.500
0.421 0.750 0.842
0.081 0.750 0.161
0.500 0.500 0.500
0.000 0.000 0.500
0.579 0.250 0.158
0.919 0.250 0.839
0.000 0.500 0.500
0.613 0.750 0.227
0.387 0.250 0.773
0.888 0.750 0.775
0.112 0.250 0.225
```



Number 1: formation energy without anion corrections -17.98 kcal/mol of atoms. Number 2: formation energy without anion corrections -15.31 kcal/mol of atoms. Number 3: formation energy without anion corrections -20.59 kcal/mol of atoms. Number 4: formation energy without anion corrections -14.46 kcal/mol of atoms. Number 5: formation energy without anion corrections -9.02 kcal/mol of atoms. Number 6: formation energy without anion corrections -14.13 kcal/mol of atoms. Number 7: formation energy without anion corrections -19.83 kcal/mol of atoms. Number 8: formation energy without anion corrections -10.68 kcal/mol of atoms. Number 9: formation energy without anion corrections -11.75 kcal/mol of atoms. Number 10: formation energy without anion corrections -20.14 kcal/mol of atoms. Number 11: formation energy without anion corrections -14.50 kcal/mol of atoms. Number 12: formation energy without anion corrections -12.18 kcal/mol of atoms. Number 13: formation energy without anion corrections -16.55 kcal/mol of atoms. Number 14: formation energy without anion corrections -19.55 kcal/mol of atoms. Number 15: formation energy without anion corrections -20.62 kcal/mol of atoms. Number 16: formation energy without anion corrections -17.52 kcal/mol of atoms. Number 17: formation energy without anion corrections -29.87 kcal/mol of atoms. Number 18: formation energy without anion corrections -26.10 kcal/mol of atoms. Number 19: formation energy without anion corrections -18.86 kcal/mol of atoms.